Record 1
Compound: VHgOsO6
Source: the Alexandria database
Functional: PBE+U
Structure: relaxed

```
VHgOsO6
1.0
-4.801 -0.799 -2.169
-2.160 -4.490 0.622
-2.023 2.060 4.238
V O Hg Os
1 6 1 1
Direct
0.680 0.660 0.500
0.618 0.410 0.705
0.004 0.339 0.295
0.378 0.040 0.713
0.004 0.656 0.705
0.378 0.582 0.287
0.618 0.972 0.295
0.997 0.001 0.000
0.322 0.339 0.500
```

Results
Total magnetization: 1.06 μB per formula unit
DOS(E_F): 2.3 states/eV/f.u.
Electronic total energy: -58.58 eV per cell
Symmetry: C2, No. 5

=====

Record 2
Compound: HgOs2WO
Source: the Alexandria database
Functional: PBE+U
Structure: relaxed

```
HgOs2WO
1.0
4.982 0.000 0.000
0.000 3.766 0.000
0.000 0.000 4.982
O Hg Os W
1 1 2 1
Direct
0.000 0.500 0.000
0.500 0.500 0.500
0.000 0.000 0.500
0.500 0.000 0.000
0.000 0.000 0.000
```

Results
Total magnetization: 1.44 μB per formula unit
DOS(E_F): 4.4 states/eV/f.u.
Electronic total energy: -29.02 eV per cell
Symmetry: P4/mmm, No. 123

=====

Record 3
Compound: HgOsWO6
Source: the Alexandria database
Functional: PBE+U
Structure: relaxed

```
HgOsWO6
1.0
7.380 0.000 0.000
0.000 7.219 0.000
-3.690 -3.609 5.194
W O Hg Os
2 12 2 2
Direct
0.000 0.000 0.500
0.500 0.000 0.500
0.189 0.931 0.744
0.191 0.941 0.381
0.556 0.314 0.744
0.189 0.314 0.744
0.444 0.069 0.256
0.556 0.931 0.744
0.444 0.686 0.256
0.449 0.699 0.898
0.811 0.686 0.256
0.809 0.059 0.619
0.811 0.069 0.256
0.551 0.301 0.102
0.145 0.395 0.290
0.855 0.605 0.710
0.500 0.000 0.000
0.500 0.500 0.000
```

Results
Total magnetization: 0.73 μB per formula unit
DOS(E_F): 4.7 states/eV/f.u.
Electronic total energy: -118.82 eV per cell
Symmetry: Imma, No. 74

=====

Q: Which value of DOS(E_F) does entry 3 give?
A: 4.7 states/eV/f.u.